Density functional theory data (GGA-PBE) for a geometry-optimized Cr3CdAu structure.

a b c (Å): 5.0220 5.0220 5.0220
angles (deg): 90.00 90.00 90.00
Each line ends with the local moment (μB).
Positions (direct):
Cr: 0.5000 0.0000 0.0000  3.71
Cr: 0.0000 0.0000 0.5000  3.92
Cr: 0.0000 0.5000 0.0000  3.79
Au: 0.0000 0.0000 0.0000  0.22
Cd: 0.5000 0.5000 0.5000  -0.03

Calculated values
calculated total energy	-27.14	eV per cell
D(E_F)	4.62	states/eV/f.u.
energy above the most stable polymorph in this dataset	0.0000	eV per atom
ΔH_f (0 K)	1.18	eV/atom
symmetry	Pm-3m

Density functional theory data (GGA-PBE) for a geometry-optimized Cr2CdAu structure.

a b c (Å): 5.0204 5.0204 5.0204
angles (deg): 132.48 132.48 69.47
Each line ends with the local moment (μB).
Positions (direct):
Cr: 0.0000 0.0000 0.0000  3.39
Cr: 0.2500 0.7500 0.5000  -3.36
Au: 0.5000 0.5000 0.0000  0.00
Cd: 0.7500 0.2500 0.5000  0.01

Calculated values
calculated total energy	-22.68	eV per cell
D(E_F)	1.83	states/eV/f.u.
ΔH_f (0 K)	0.19	eV/atom
symmetry	I-4m2

Density functional theory data (GGA-PBE) for a geometry-optimized Cr2CdAu structure.

a b c (Å): 7.5171 7.5171 6.0450
angles (deg): 51.56 51.56 90.00
Each line ends with the local moment (μB).
Positions (direct):
Cr: 0.1071 0.6250 0.2500  3.84
Cr: 0.6429 0.1250 0.2500  3.84
Cr: 0.8750 0.8929 0.7500  3.85
Cr: 0.3750 0.3571 0.7500  3.85
Cd: 0.2500 0.7500 0.5000  0.03
Cd: 0.5000 0.5000 0.0000  0.03
Au: 0.7500 0.2500 0.5000  0.13
Au: 0.0000 0.0000 0.0000  0.14

Calculated values
calculated total energy	-41.19	eV per cell
D(E_F)	2.17	states/eV/f.u.
ΔH_f (0 K)	0.71	eV/atom
symmetry	I-42d

Density functional theory data (GGA-PBE) for a geometry-optimized CrCd2Au2 structure.

a b c (Å): 3.8850 3.8850 7.5800
angles (deg): 75.15 75.15 90.00
Each line ends with the local moment (μB).
Positions (direct):
Cr: 0.0000 0.0000 0.0000  3.97
Au: 0.2500 0.7500 0.5000  0.01
Au: 0.7500 0.2500 0.5000  0.01
Cd: 0.4015 0.4015 0.1971  -0.01
Cd: 0.5985 0.5985 0.8029  -0.01

Calculated values
calculated total energy	-16.73	eV per cell
D(E_F)	2.12	states/eV/f.u.
energy above the most stable polymorph in this dataset	0.1646	eV per atom
ΔH_f (0 K)	0.26	eV/atom
symmetry	I4/mmm

Density functional theory data (GGA-PBE) for a geometry-optimized CrCd2Au2 structure.

a b c (Å): 7.2153 7.2153 3.9135
angles (deg): 90.00 90.00 90.00
Each line ends with the local moment (μB).
Positions (direct):
Cd: 0.8358 0.3358 0.5000  -0.01
Cd: 0.6642 0.8358 0.5000  -0.01
Cd: 0.1642 0.6642 0.5000  -0.01
Cd: 0.3358 0.1642 0.5000  -0.01
Au: 0.6399 0.1399 0.0000  0.04
Au: 0.1399 0.3601 0.0000  0.04
Au: 0.3601 0.8601 0.0000  0.04
Au: 0.8601 0.6399 0.0000  0.05
Cr: 0.5000 0.5000 0.0000  3.83
Cr: 0.0000 0.0000 0.0000  3.83

Calculated values
calculated total energy	-35.10	eV per cell
D(E_F)	2.59	states/eV/f.u.
energy above the most stable polymorph in this dataset	0.0000	eV per atom
ΔH_f (0 K)	0.09	eV/atom
symmetry	P4/mbm

Density functional theory data (GGA-PBE) for a geometry-optimized CrCd4Au structure.

a b c (Å): 5.6188 5.6188 5.6188
angles (deg): 60.00 60.00 60.00
Each line ends with the local moment (μB).
Positions (direct):
Cd: 0.3749 0.8753 0.3749  0.01
Cd: 0.3749 0.3749 0.8753  0.01
Cd: 0.3749 0.3749 0.3749  0.01
Cd: 0.8753 0.3749 0.3749  0.01
Au: 0.0000 0.0000 0.0000  0.06
Cr: 0.7500 0.7500 0.7500  3.98

Calculated values
calculated total energy	-14.80	eV per cell
D(E_F)	1.86	states/eV/f.u.
ΔH_f (0 K)	0.29	eV/atom
symmetry	F-43m

Density functional theory data (GGA-PBE) for a geometry-optimized Cr2CdAu structure.

a b c (Å): 4.5965 4.5965 4.5965
angles (deg): 60.00 60.00 60.00
Each line ends with the local moment (μB).
Positions (direct):
Cr: 0.2500 0.2500 0.2500  3.43
Cr: 0.0000 0.0000 0.0000  -3.43
Cd: 0.7500 0.7500 0.7500  -0.02
Au: 0.5000 0.5000 0.5000  0.05

Calculated values
calculated total energy	-22.35	eV per cell
D(E_F)	2.68	states/eV/f.u.
ΔH_f (0 K)	0.27	eV/atom
symmetry	F-43m

Density functional theory data (GGA-PBE) for a geometry-optimized Cr2CdAu structure.

a b c (Å): 9.2279 9.2279 9.2279
angles (deg): 18.79 18.79 18.79
Each line ends with the local moment (μB).
Positions (direct):
Cr: 0.5034 0.5034 0.5034  3.29
Cr: 0.9966 0.9966 0.9966  3.29
Au: 0.2500 0.2500 0.2500  0.10
Cd: 0.7500 0.7500 0.7500  -0.02

Calculated values
calculated total energy	-21.25	eV per cell
D(E_F)	5.35	states/eV/f.u.
ΔH_f (0 K)	0.55	eV/atom
symmetry	R-3m

Density functional theory data (GGA-PBE) for a geometry-optimized Cr2CdAu structure.

a b c (Å): 8.9443 8.9443 8.9443
angles (deg): 18.66 18.66 18.66
Positions (direct):
Au: 0.5085 0.5085 0.5085
Cr: 0.9848 0.9848 0.9848
Cr: 0.2618 0.2618 0.2618
Cd: 0.7449 0.7449 0.7449

Calculated values
calculated total energy	-22.38	eV per cell
D(E_F)	3.32	states/eV/f.u.
ΔH_f (0 K)	0.26	eV/atom
symmetry	R3m

Density functional theory data (GGA-PBE) for a geometry-optimized CrCdAu3 structure.

a b c (Å): 5.1355 5.1355 5.1355
angles (deg): 90.00 90.00 90.00
Each line ends with the local moment (μB).
Positions (direct):
Au: 0.5000 0.0000 0.0000  -0.02
Au: 0.0000 0.0000 0.5000  -0.02
Au: 0.0000 0.5000 0.0000  -0.03
Cd: 0.0000 0.0000 0.0000  0.00
Cr: 0.5000 0.5000 0.5000  4.21

Calculated values
calculated total energy	-15.96	eV per cell
D(E_F)	2.07	states/eV/f.u.
energy above the most stable polymorph in this dataset	0.1943	eV per atom
ΔH_f (0 K)	0.88	eV/atom
symmetry	Pm-3m

Density functional theory data (GGA-PBE) for a geometry-optimized Cr2CdAu structure.

a b c (Å): 5.1253 5.1253 4.7972
angles (deg): 76.98 76.98 35.75
Each line ends with the local moment (μB).
Positions (direct):
Au: 0.4962 0.4962 0.5333  0.06
Cr: 0.9985 0.9985 0.0226  3.57
Cr: 0.7567 0.7567 0.7180  3.52
Cd: 0.2485 0.2485 0.2261  -0.01

Calculated values
calculated total energy	-21.69	eV per cell
D(E_F)	4.02	states/eV/f.u.
ΔH_f (0 K)	0.44	eV/atom
symmetry	Cm

Density functional theory data (GGA-PBE) for a geometry-optimized Cr2CdAu structure.

a b c (Å): 4.3019 2.9226 6.1319
angles (deg): 61.45 90.00 90.00
Positions (direct):
Cd: 0.5000 0.7500 0.7500
Cr: 0.0000 0.9249 0.0752
Cr: 0.0000 0.5751 0.4248
Au: 0.5000 0.2500 0.2500

Calculated values
calculated total energy	-21.46	eV per cell
D(E_F)	3.11	states/eV/f.u.
ΔH_f (0 K)	0.49	eV/atom
symmetry	P2/m